DFT (PBEsol) results for an optimized crystal structure of TiPtNO2.

a b c (Å): 3.7060 3.7060 4.1347
angles (deg): 90.00 90.00 90.00
Atoms (fractional coordinates):
Ti (0.0000, 0.0000, 0.0000)
Pt (0.5000, 0.5000, 0.5000)
N (0.0000, 0.0000, 0.5000)
O (0.0000, 0.5000, 0.0000)
O (0.5000, 0.0000, 0.0000)

Summary:
The density comes out at 8.4 g cm⁻³. Its energy is -7.2885 eV per atom.